Record 1
Computed, not measured: a geometry-optimized LiCoP3O9 structure at the PBEsol level of DFT.

Values from the calculation:
- crystal system = orthorhombic
- magnetization (μB/cell) = 12.00
- E_tot (eV per cell) = -406.82
- DOS at the Fermi energy (states/eV/cell) = 11.2
- energy relative to the elements, uncorrected (eV per formula unit) = -27.38
- mass density (kg/m3) = 2603
- polymorph energy (0 for the lowest one) (meV/atom) = 33

Cell and atoms, written as CIF:
```
data_LiCoP3O9
_cell_length_a 5.021
_cell_length_b 11.826
_cell_length_c 13.012
_cell_angle_alpha 90.00
_cell_angle_beta 90.00
_cell_angle_gamma 90.00
_space_group_name_H-M_alt 'P b c m'
_space_group_IT_number 57
_space_group_name_Hall '-P 2c 2b'
loop_
_atom_site_label
_atom_site_type_symbol
_atom_site_fract_x
_atom_site_fract_y
_atom_site_fract_z
Li1 Li 0.031 0.011 0.250
Co1 Co 0.000 0.000 0.000
P1 P 0.251 0.250 0.000
P2 P 0.490 0.584 0.136
O1 O 0.102 0.154 0.548
O2 O 0.196 0.560 0.137
O3 O 0.320 0.505 0.600
O4 O 0.413 0.118 0.250
O5 O 0.464 0.203 0.082
```



Record 2
Computed, not measured: a geometry-optimized CrSi2O6 structure at the PBEsol level of DFT.

Values from the calculation:
- crystal system = orthorhombic
- magnetization (μB/cell) = 16.00
- E_tot (eV per cell) = -594.33
- energy relative to the elements, uncorrected (eV per formula unit) = -21.06
- mass density (kg/m3) = 2724
- polymorph energy (0 for the lowest one) (meV/atom) = 54

Cell and atoms, written as CIF:
```
data_CrSi2O6
_cell_length_a 4.980
_cell_length_b 18.351
_cell_length_c 10.895
_cell_angle_alpha 90.00
_cell_angle_beta 90.00
_cell_angle_gamma 90.00
_space_group_name_H-M_alt 'P b c a'
_space_group_IT_number 61
_space_group_name_Hall '-P 2ac 2ab'
loop_
_atom_site_label
_atom_site_type_symbol
_atom_site_fract_x
_atom_site_fract_y
_atom_site_fract_z
Cr1 Cr 0.032 0.126 0.028
Si1 Si 0.159 0.733 0.833
Si2 Si 0.242 0.514 0.670
O1 O 0.049 0.530 0.787
O2 O 0.150 0.223 0.713
O3 O 0.177 0.568 0.556
O4 O 0.188 0.685 0.393
O5 O 0.218 0.071 0.129
O6 O 0.235 0.674 0.937
```



Which formula does entry 1 have?
LiCoP3O9



The lowest energy relative to the elements, uncorrected belongs to which entry?
LiCoP3O9



Copy entry 1 word for word.
Computed, not measured: a geometry-optimized LiCoP3O9 structure at the PBEsol level of DFT.

Values from the calculation:
- crystal system = orthorhombic
- magnetization (μB/cell) = 12.00
- E_tot (eV per cell) = -406.82
- DOS at the Fermi energy (states/eV/cell) = 11.2
- energy relative to the elements, uncorrected (eV per formula unit) = -27.38
- mass density (kg/m3) = 2603
- polymorph energy (0 for the lowest one) (meV/atom) = 33

Cell and atoms, written as CIF:
```
data_LiCoP3O9
_cell_length_a 5.021
_cell_length_b 11.826
_cell_length_c 13.012
_cell_angle_alpha 90.00
_cell_angle_beta 90.00
_cell_angle_gamma 90.00
_space_group_name_H-M_alt 'P b c m'
_space_group_IT_number 57
_space_group_name_Hall '-P 2c 2b'
loop_
_atom_site_label
_atom_site_type_symbol
_atom_site_fract_x
_atom_site_fract_y
_atom_site_fract_z
Li1 Li 0.031 0.011 0.250
Co1 Co 0.000 0.000 0.000
P1 P 0.251 0.250 0.000
P2 P 0.490 0.584 0.136
O1 O 0.102 0.154 0.548
O2 O 0.196 0.560 0.137
O3 O 0.320 0.505 0.600
O4 O 0.413 0.118 0.250
O5 O 0.464 0.203 0.082
```



Look up the mass density of the first one.
2603 kg/m3